No. 1
Compound: DyHo2ErSe5
Source: the Alexandria database
Functional: PBE
Structure: relaxed

Cell lengths 5.1111, 5.1111, 10.6931 Å; angles 90.00, 90.00, 90.00 degrees
With the nearest neighbours (Å) after each atom.
Element x y z (fractional)
Dy (0.0000, 0.0000, 0.0000)  2 Se 2.64
Ho (0.5000, 0.5000, 0.3409)  4 Se 3.07, 1 Ho 3.40
Ho (0.5000, 0.5000, 0.6591)  4 Se 3.07, 1 Ho 3.40
Er (0.0000, 0.0000, 0.5000)  6 Se 2.56-2.70
Se (0.0000, 0.0000, 0.2473)  1 Dy 2.64, 1 Er 2.70
Se (0.0000, 0.0000, 0.7527)  1 Dy 2.64, 1 Er 2.70
Se (0.0000, 0.5000, 0.5000)  2 Er 2.56
Se (0.5000, 0.0000, 0.5000)  2 Er 2.56
Se (0.5000, 0.5000, 0.0000)  4 Dy 3.61, 2 Ho 3.65

Output
Theoretical density (Mg/m³): 6.3
E (eV/cell): -45.61
Uncorrected formation energy (eV/f.u.): -9.87
Space group: P4/mmm

No. 2
Compound: Li2SiH4
Source: the Alexandria database
Functional: PBE
Structure: relaxed

Cell lengths 4.9300, 4.2371, 4.8097 Å; angles 65.69, 51.56, 62.76 degrees
With the nearest neighbours (Å) after each atom.
Element x y z (fractional)
Li (0.0000, 0.0000, 0.5000)  6 H 2.03-2.22
Li (0.5000, 0.5000, 0.0000)  6 H 2.03-2.22
Si (0.2305, 0.2305, 0.7695)  2 H 1.53
H (0.0305, 0.5120, 0.4880)  1 Si 1.87, 2 Li 2.03
H (0.1916, 0.5931, 0.8084)  1 Si 1.53
H (0.5120, 0.0305, 0.9695)  1 Si 1.87, 2 Li 2.03
H (0.5931, 0.1916, 0.4069)  1 Si 1.53

Output
Theoretical density (Mg/m³): 1.1
E (eV/cell): -23.14
Space group: Fmm2

No. 3
Compound: KHg3Te3
Source: the Alexandria database
Functional: PBE
Structure: relaxed

Cell lengths 9.6258, 9.6258, 9.6258 Å; angles 53.24, 53.24, 53.24 degrees
With the nearest neighbours (Å) after each atom.
Element x y z (fractional)
K (0.1663, 0.1663, 0.1663)  6 Te 3.65, 6 Hg 4.03-4.06
K (0.8337, 0.8337, 0.8337)  6 Te 3.65, 6 Hg 4.03-4.06
Hg (0.0524, 0.7196, 0.3829)  4 Te 2.93-3.14
Hg (0.2804, 0.6171, 0.9476)  4 Te 2.93-3.14
Hg (0.3829, 0.0524, 0.7196)  4 Te 2.93-3.14
Hg (0.6171, 0.9476, 0.2804)  4 Te 2.93-3.14
Hg (0.7196, 0.3829, 0.0524)  4 Te 2.93-3.14
Hg (0.9476, 0.2804, 0.6171)  4 Te 2.93-3.14
Te (0.0742, 0.4105, 0.7421)  4 Hg 2.93-3.14
Te (0.2579, 0.9258, 0.5895)  4 Hg 2.93-3.14
Te (0.4105, 0.7421, 0.0742)  4 Hg 2.93-3.14
Te (0.5895, 0.2579, 0.9258)  4 Hg 2.93-3.14
Te (0.7421, 0.0742, 0.4105)  4 Hg 2.93-3.14
Te (0.9258, 0.5895, 0.2579)  4 Hg 2.93-3.14

Output
Theoretical density (Mg/m³): 6.4
E (eV/cell): -26.86
Uncorrected formation energy (eV/f.u.): -2.00
Energy above the most stable polymorph in this dataset (kJ/mol of atoms): 0.00
Space group: R-3

No. 4
Compound: K2BaZrS4
Source: the Alexandria database
Functional: PBE
Structure: relaxed

Cell lengths 8.6369, 8.6369, 8.6369 Å; angles 123.80, 117.02, 89.39 degrees
With the nearest neighbours (Å) after each atom.
Element x y z (fractional)
K (0.0000, 0.0000, 0.0000)  6 S 3.08-3.10
K (0.5000, 0.0000, 0.0000)  6 S 3.40-3.57
K (0.5000, 0.0000, 0.5000)  6 S 3.08-3.10
K (0.5000, 0.5000, 0.5000)  6 S 3.40-3.57
Ba (0.0000, 0.5000, 0.5000)  6 S 3.08-3.11
Ba (0.5000, 0.5000, 0.0000)  6 S 3.08-3.11
Zr (0.0000, 0.0000, 0.5000)  6 S 2.57-2.70
Zr (0.0000, 0.5000, 0.0000)  6 S 2.57-2.70
S (0.1972, 0.2497, 0.9475)  2 Zr 2.70
S (0.1979, 0.7503, 0.4475)  2 Zr 2.70
S (0.2093, 0.2095, 0.5002)  1 Zr 2.57
S (0.2093, 0.7092, 0.9998)  1 Zr 2.57
S (0.7907, 0.2908, 0.0002)  1 Zr 2.57
S (0.7907, 0.7905, 0.4998)  1 Zr 2.57
S (0.8021, 0.2497, 0.5525)  2 Zr 2.70
S (0.8028, 0.7503, 0.0525)  2 Zr 2.70

Output
Theoretical density (Mg/m³): 3.2
E (eV/cell): -83.26
Uncorrected formation energy (eV/f.u.): -12.45
Space group: Imma

No. 5
Compound: La6Co2SI3
Source: the Alexandria database
Functional: PBE
Structure: relaxed

Cell lengths 7.4143, 7.4143, 8.3888 Å; angles 97.53, 97.53, 122.41 degrees
With the nearest neighbours (Å) after each atom.
Element x y z (fractional)
La (0.0725, 0.4183, 0.8183)  2 Co 2.62-2.89
La (0.2163, 0.2163, 0.1898)  2 Co 2.89, 1 S 2.90
La (0.4183, 0.0725, 0.8183)  2 Co 2.62-2.89
La (0.5817, 0.9275, 0.1817)  2 Co 2.62-2.89
La (0.7837, 0.7837, 0.8102)  2 Co 2.89, 1 S 2.90
La (0.9275, 0.5817, 0.1817)  2 Co 2.62-2.89
Co (0.1684, 0.8316, 0.0000)  6 La 2.62-2.89
Co (0.8316, 0.1684, 0.0000)  6 La 2.62-2.89
S (0.5000, 0.5000, 0.0000)  6 La 2.90-3.03
I (0.0000, 0.0000, 0.5000)  6 La 3.37-3.56
I (0.3344, 0.6656, 0.5000)  6 La 3.47-3.62
I (0.6656, 0.3344, 0.5000)  6 La 3.47-3.62

Output
Theoretical density (Mg/m³): 6.0
E (eV/cell): -64.45
Uncorrected formation energy (eV/f.u.): -11.90
Space group: C2/m

No. 6
Compound: K2CaCd9
Source: the Alexandria database
Functional: PBE
Structure: relaxed

Cell lengths 10.6842, 10.6842, 10.6842 Å; angles 33.41, 33.41, 33.41 degrees
With the nearest neighbours (Å) after each atom.
Element x y z (fractional)
K (0.1439, 0.1439, 0.1439)  12 Cd 3.61-3.70, 3 K 3.80
K (0.8561, 0.8561, 0.8561)  12 Cd 3.61-3.70, 3 K 3.80
Ca (0.0000, 0.0000, 0.0000)  18 Cd 3.55-3.94
Cd (0.0761, 0.5840, 0.5840)  7 Cd 3.01-3.15
Cd (0.3349, 0.3349, 0.3349)  6 Cd 3.01-3.05
Cd (0.4160, 0.4160, 0.9239)  7 Cd 3.01-3.15
Cd (0.4160, 0.9239, 0.4160)  7 Cd 3.01-3.15
Cd (0.5000, 0.5000, 0.5000)  6 Cd 3.15
Cd (0.5840, 0.0761, 0.5840)  7 Cd 3.01-3.15
Cd (0.5840, 0.5840, 0.0761)  7 Cd 3.01-3.15
Cd (0.6651, 0.6651, 0.6651)  6 Cd 3.01-3.05
Cd (0.9239, 0.4160, 0.4160)  7 Cd 3.01-3.15

Output
Energy relative to the elements (eV/atom): -0.101
Theoretical density (Mg/m³): 5.7
E (eV/cell): -13.64
Space group: R-3m

No. 7
Compound: NaAlZnRu2
Source: the Alexandria database
Functional: PBE
Structure: relaxed

Cell lengths 4.5846, 4.5846, 4.2816 Å; angles 90.00, 90.00, 90.00 degrees
With the nearest neighbours (Å) after each atom.
Element x y z (fractional)
Na (0.0000, 0.0000, 0.0000)  2 Zn 2.14, 4 Ru 2.29
Al (0.5000, 0.5000, 0.5000)  8 Ru 3.14, 4 Zn 3.24
Zn (0.0000, 0.0000, 0.5000)  2 Na 2.14
Ru (0.0000, 0.5000, 0.0000)  2 Na 2.29
Ru (0.5000, 0.0000, 0.0000)  2 Na 2.29

Output
Energy relative to the elements (eV/atom): 1.709
Theoretical density (Mg/m³): 5.9
E (eV/cell): -16.34
Space group: P4/mmm

No. 8
Compound: YZrSc
Source: the Alexandria database
Functional: PBE
Structure: relaxed

Cell lengths 3.3316, 3.3316, 8.1702 Å; angles 90.00, 90.00, 120.00 degrees
With the nearest neighbours (Å) after each atom.
Element x y z (fractional)
Y (0.0000, 0.0000, 0.0000)  3 Zr 3.33, 6 Y 3.33, 3 Sc 3.51
Zr (0.6667, 0.3333, 0.3328)  3 Sc 3.16, 3 Y 3.33, 6 Zr 3.33
Sc (0.3333, 0.6667, 0.6402)  3 Zr 3.16, 6 Sc 3.33, 3 Y 3.51

Output
Energy relative to the elements (eV/atom): 0.081
Theoretical density (Mg/m³): 4.8
E (eV/cell): -21.10
Energy above the most stable polymorph in this dataset (kJ/mol of atoms): 2.42
Space group: P3m1

Question: Look up the theoretical density of the fourth one.
Answer: 3.2 Mg/m³

Repeat the seventh record exactly.
Compound: NaAlZnRu2
Source: the Alexandria database
Functional: PBE
Structure: relaxed

Cell lengths 4.5846, 4.5846, 4.2816 Å; angles 90.00, 90.00, 90.00 degrees
With the nearest neighbours (Å) after each atom.
Element x y z (fractional)
Na (0.0000, 0.0000, 0.0000)  2 Zn 2.14, 4 Ru 2.29
Al (0.5000, 0.5000, 0.5000)  8 Ru 3.14, 4 Zn 3.24
Zn (0.0000, 0.0000, 0.5000)  2 Na 2.14
Ru (0.0000, 0.5000, 0.0000)  2 Na 2.29
Ru (0.5000, 0.0000, 0.0000)  2 Na 2.29

Output
Energy relative to the elements (eV/atom): 1.709
Theoretical density (Mg/m³): 5.9
E (eV/cell): -16.34
Space group: P4/mmm

Question: Among the records above, which one has the lowest E?
Answer: K2BaZrS4